Entry 1:
VASP calculation (PBE) on Dy6Ho3Tm2Tl after structural relaxation.

Lattice parameters (Å, degrees): 6.079 6.079 11.560 95.09 95.09 120.07
Sites, in units of the cell vectors:
Dy: 0.751 0.751 0.249
Dy: 0.081 0.412 0.247
Dy: 0.588 0.919 0.753
Dy: 0.919 0.588 0.753
Tm: 0.334 0.666 0.000
Ho: 0.167 0.833 0.500
Tm: 0.666 0.334 0.000
Ho: 0.500 0.500 0.500
Ho: 0.833 0.167 0.500
Dy: 0.412 0.081 0.247
Tl: 0.000 0.000 0.000
Dy: 0.249 0.249 0.751

Properties
E	-4.3966	eV per atom

Entry 2:
VASP calculation (PBE) on DyHoTmTl after structural relaxation.

Lattice parameters (Å, degrees): 5.435 5.435 5.435 60.00 60.00 60.00
Each line ends with the local moment (μB).
Sites, in units of the cell vectors:
Tm: 0.500 0.500 0.500  0.37
Tl: 0.000 0.000 0.000  0.01
Dy: 0.750 0.750 0.750  0.31
Ho: 0.250 0.250 0.250  0.32

Properties
excess energy over the best structure of this formula in the dataset	0.143	eV/atom
E	-4.0326	eV per atom

Entry 3:
VASP calculation (PBE) on DyHoTmTl after structural relaxation.

Lattice parameters (Å, degrees): 4.832 4.822 4.816 90.00 90.00 90.00
Each line ends with the local moment (μB).
Sites, in units of the cell vectors:
Ho: 0.500 0.000 0.500  0.19
Tm: 0.000 0.500 0.500  0.19
Dy: 0.500 0.500 0.000  0.19
Tl: 0.000 0.000 0.000  -0.01

Properties
excess energy over the best structure of this formula in the dataset	0.000	eV/atom
E	-4.1751	eV per atom

Entry 4:
VASP calculation (PBE) on DyHo2TmTl2 after structural relaxation.

Lattice parameters (Å, degrees): 5.058 6.812 9.895 90.00 90.00 90.00
Sites, in units of the cell vectors:
Ho: 0.500 0.554 0.956
Tm: 0.500 0.177 0.690
Ho: 0.000 0.838 0.813
Tl: 0.500 0.718 0.631
Tl: 0.000 0.299 0.866
Dy: 0.000 0.960 0.457
Tl: 0.500 0.218 0.369
Ho: 0.000 0.338 0.187
Tl: 0.000 0.799 0.134
Tm: 0.500 0.677 0.310
Dy: 0.000 0.460 0.543
Ho: 0.500 0.054 0.044

Properties
E	-4.0912	eV per atom

Entry 5:
VASP calculation (PBE) on Dy6Y3Ho2Tl after structural relaxation.

Lattice parameters (Å, degrees): 6.108 6.108 11.629 95.07 95.07 120.07
Sites, in units of the cell vectors:
Y: 0.500 0.500 0.500
Dy: 0.081 0.411 0.246
Ho: 0.666 0.334 0.000
Dy: 0.589 0.919 0.754
Dy: 0.249 0.249 0.752
Dy: 0.919 0.589 0.754
Tl: 0.000 0.000 0.000
Ho: 0.334 0.666 0.000
Dy: 0.751 0.751 0.248
Y: 0.833 0.167 0.500
Y: 0.167 0.833 0.500
Dy: 0.411 0.081 0.246

Properties
E	-4.8868	eV per atom

Entry 6:
VASP calculation (PBE) on DyY2HoTl2 after structural relaxation.

Lattice parameters (Å, degrees): 5.083 6.842 9.965 90.00 90.00 90.00
Sites, in units of the cell vectors:
Y: 0.000 0.337 0.189
Ho: 0.500 0.678 0.312
Y: 0.000 0.837 0.811
Dy: 0.000 0.960 0.456
Dy: 0.000 0.460 0.544
Y: 0.500 0.555 0.956
Tl: 0.500 0.716 0.631
Tl: 0.000 0.299 0.867
Y: 0.500 0.055 0.044
Tl: 0.500 0.216 0.369
Ho: 0.500 0.178 0.688
Tl: 0.000 0.799 0.133

Properties
E	-4.7604	eV per atom